Below is a relaxed structure of KTiV2C, with properties calculated at the PBE level.

abc: 4.1228 4.6481 4.1228
angles: 90.00 90.00 90.00
Positions (direct):
K1 0.5000 0.5000 0.5000
Ti1 0.0000 0.5000 0.0000
C1 0.0000 0.0000 0.0000
V1 0.0000 0.0000 0.5000
V2 0.5000 0.0000 0.0000

Calculated values
Formation energy from the elements = 4.19 eV/f.u.
Space-group type = P4/mmm (123)
VASP energy = -32.26 eV for the cell shown